Computed, not measured: a geometry-optimized Tm12Co5Pb structure at the PBE level of DFT.

Lattice parameters (Å, degrees): 8.168 8.168 8.168 106.55 111.00 110.90
Positions (direct):
Co1 0.377 0.377 0.000
Tm1 0.806 0.595 0.789
Tm2 0.694 0.313 0.006
Pb1 0.000 0.500 0.500
Co2 0.000 0.000 0.000
Tm3 0.194 0.983 0.789
Tm4 0.897 0.185 0.712
Co3 0.623 0.623 0.000
Tm5 0.806 0.017 0.211
Co4 0.500 0.113 0.613
Co5 0.500 0.887 0.387
Tm6 0.103 0.815 0.288
Tm7 0.306 0.313 0.619
Tm8 0.473 0.185 0.288
Tm9 0.194 0.405 0.211
Tm10 0.306 0.687 0.994
Tm11 0.694 0.687 0.381
Tm12 0.527 0.815 0.712

Results
The calculation puts the total energy at -5.457 eV per atom. As for the volume: 419 Å³ per cell. Its crystal system is orthorhombic. The calculation puts the density of states at the Fermi level at 0.67 states/eV per atom.